[1]
First-principles (PBE-GGA) data for crystalline Tb3Si4Ir2 at its relaxed geometry, as listed in the Alexandria database.

Results
E_form (uncorrected), meV per atom: -938.5
Calculated total energy, eV/cell: -123.5

Cell: 10.7789 4.1576 8.0318 Å, 90.00 108.41 90.00°
Closest atoms and distances in Å follow each position.
Space group C2/m (No. 12)
One atom of each set of equivalent atoms:
Tb: 0.0000 0.0000 0.0000  8 Si 3.06-3.27
Tb: 0.1164 0.5000 0.6988  7 Si 2.87-3.10, 4 Ir 3.05-3.18
Si: 0.0960 0.0000 0.4048  3 Ir 2.38-2.47
Si: 0.2191 0.5000 0.0751  1 Ir 2.42, 2 Si 2.59
Ir: 0.1898 0.5000 0.3615  4 Si 2.38-2.47


[2]
First-principles (PBE-GGA) data for crystalline RbP3Ru at its relaxed geometry, as listed in the Alexandria database.

Results
Calculated total energy, eV/cell: -24.5
Energy of formation, meV/atom: 389.4

Cell: 4.7652 4.7652 4.7652 Å, 90.00 90.00 90.00°
Closest atoms and distances in Å follow each position.
Space group Pm-3m (No. 221)
One atom of each set of equivalent atoms:
Rb: 0.0000 0.0000 0.0000  12 P 3.37
P: 0.0000 0.5000 0.5000  2 Ru 2.38
Ru: 0.5000 0.5000 0.5000  6 P 2.38